No. 1
Crystalline Ac2AlSi2 at its relaxed geometry, computed with GGA-PBE.

Cell: 4.347 7.591 9.033 Å, 90.00 103.92 90.00°
Atoms (fractional coordinates):
Ac 0.968 0.727 0.935
Ac 0.790 0.395 0.580
Ac 0.210 0.895 0.420
Ac 0.032 0.227 0.065
Al 0.394 0.098 0.787
Al 0.606 0.598 0.213
Si 0.426 0.422 0.851
Si 0.835 0.992 0.669
Si 0.165 0.492 0.331
Si 0.574 0.922 0.149

Raw total energy, eV/atom: -5.0390
Space-group type: Cmc2_1 (36)
Excess energy over the best structure of this formula in the dataset, eV per atom: 0.000
Size of the total moment, μB/f.u.: 0.00



No. 2
Crystalline TmU2PaP4 at its relaxed geometry, computed with GGA-PBE.

Cell: 3.922 6.901 6.796 Å, 70.84 90.00 90.00°
Last column: magnetic moment on the atom in μB.
Atoms (fractional coordinates):
Tm 0.500 0.500 0.000  -0.03
U 0.000 0.000 0.000  1.96
U 0.500 0.000 0.500  2.00
Pa 0.000 0.500 0.500  0.17
P 0.000 0.751 0.750  -0.04
P 0.000 0.249 0.250  -0.04
P 0.500 0.751 0.248  -0.04
P 0.500 0.249 0.752  -0.04

Raw total energy, eV/atom: -8.4803
Space-group type: P2/m (10)
Size of the total moment, μB/f.u.: 4.52



No. 3
Crystalline MgNbMo3 at its relaxed geometry, computed with GGA-PBE.

Cell: 4.788 4.788 4.788 Å, 90.00 90.00 90.00°
Atoms (fractional coordinates):
Mg 0.500 0.500 0.500
Mo 0.000 0.500 0.000
Mo 0.000 0.000 0.500
Mo 0.500 0.000 0.000
Nb 0.000 0.000 0.000

Raw total energy, eV/atom: -7.2215
Space-group type: Pm-3m (221)
Excess energy over the best structure of this formula in the dataset, eV per atom: 0.000
Size of the total moment, μB/f.u.: 0.00



No. 4
Crystalline Mg6GaAg at its relaxed geometry, computed with GGA-PBE.

Cell: 4.991 4.991 8.017 Å, 75.51 75.51 74.62°
Atoms (fractional coordinates):
Mg 0.067 0.567 0.305
Mg 0.567 0.067 0.305
Mg 0.433 0.933 0.695
Mg 0.933 0.433 0.695
Mg 0.354 0.354 0.932
Mg 0.646 0.646 0.068
Ga 0.000 0.000 0.000
Ag 0.500 0.500 0.500

Raw total energy, eV/atom: -1.9289
Space-group type: C2/m (12)
Excess energy over the best structure of this formula in the dataset, eV per atom: 0.086
Size of the total moment, μB/f.u.: 0.00



No. 5
Crystalline Be16CuW2 at its relaxed geometry, computed with GGA-PBE.

Cell: 5.528 5.528 5.528 Å, 83.12 83.12 83.12°
Atoms (fractional coordinates):
Be 0.697 0.999 0.303
Be 0.999 0.303 0.697
Be 0.303 0.697 0.999
Be 0.999 0.697 0.303
Be 0.697 0.303 0.999
Be 0.303 0.999 0.697
Be 0.349 0.838 0.349
Be 0.838 0.349 0.349
Be 0.349 0.349 0.838
Be 0.649 0.163 0.649
Be 0.163 0.649 0.649
Be 0.649 0.649 0.163
Be 0.001 0.498 0.001
Be 0.498 0.001 0.001
Be 0.001 0.001 0.498
Be 0.106 0.106 0.106
Cu 0.905 0.905 0.905
W 0.655 0.655 0.655
W 0.339 0.339 0.339

Raw total energy, eV/atom: -4.8459
Space-group type: R3m (160)
Size of the total moment, μB/f.u.: 0.00



No. 6
Crystalline TlIn2SnS6 at its relaxed geometry, computed with GGA-PBE.

Cell: 7.397 9.059 9.059 Å, 96.09 74.49 74.49°
Atoms (fractional coordinates):
Tl 0.250 0.886 0.114
Tl 0.750 0.114 0.886
In 0.343 0.704 0.540
In 0.157 0.460 0.296
In 0.657 0.296 0.460
In 0.843 0.540 0.704
Sn 0.250 0.172 0.828
Sn 0.750 0.828 0.172
S 0.167 0.929 0.804
S 0.333 0.196 0.071
S 0.833 0.071 0.196
S 0.667 0.804 0.929
S 0.430 0.899 0.373
S 0.070 0.627 0.101
S 0.570 0.101 0.627
S 0.930 0.373 0.899
S 0.002 0.702 0.533
S 0.498 0.467 0.298
S 0.998 0.298 0.467
S 0.502 0.533 0.702

Raw total energy, eV/atom: -3.9981
Space-group type: C2/c (15)
Size of the total moment, μB/f.u.: 0.00



No. 7
Crystalline Rb2TaBiPt at its relaxed geometry, computed with GGA-PBE.

Cell: 6.773 6.773 5.350 Å, 90.00 90.00 90.00°
Atoms (fractional coordinates):
Rb 0.000 0.500 0.000
Rb 0.500 0.000 0.000
Bi 0.000 0.000 0.000
Pt 0.500 0.500 0.500
Ta 0.000 0.000 0.500

Raw total energy, eV/atom: -3.3287
Space-group type: P4/mmm (123)
Size of the total moment, μB/f.u.: 0.00



No. 8
Crystalline HfBr2OF at its relaxed geometry, computed with GGA-PBE.

Cell: 5.311 3.919 5.311 Å, 90.00 90.00 90.00°
Last column: magnetic moment on the atom in μB.
Atoms (fractional coordinates):
Hf 0.000 0.500 0.000  -0.44
O 0.500 0.500 0.500  1.21
Br 0.000 0.000 0.500  0.08
Br 0.500 0.000 0.000  0.06
F 0.000 0.000 0.000  0.00

Raw total energy, eV/atom: -4.3409
Space-group type: P4/mmm (123)
Size of the total moment, μB/f.u.: 1.01



No. 9
Crystalline BC5 at its relaxed geometry, computed with GGA-PBE.

Cell: 6.815 6.897 6.897 Å, 158.95 141.50 44.36°
Atoms (fractional coordinates):
B 0.632 0.290 0.342
B 0.993 0.002 0.991
C 0.012 0.334 0.678
C 0.498 0.163 0.335
C 0.127 0.129 0.998
C 0.613 0.957 0.655
C 0.488 0.838 0.650
C 0.127 0.792 0.335
C 0.003 0.668 0.335
C 0.622 0.624 0.999
C 0.498 0.500 0.999
C 0.137 0.453 0.684

Raw total energy, eV/atom: -8.5458
Space-group type: C2/m (12)
Excess energy over the best structure of this formula in the dataset, eV per atom: 0.045
Size of the total moment, μB/f.u.: 0.00



No. 10
Crystalline BaNaBeAs2 at its relaxed geometry, computed with GGA-PBE.

Cell: 5.215 4.947 5.215 Å, 90.00 90.00 90.00°
Atoms (fractional coordinates):
Na 0.000 0.000 0.000
As 0.000 0.000 0.500
As 0.500 0.000 0.000
Ba 0.500 0.500 0.500
Be 0.000 0.500 0.000

Raw total energy, eV/atom: -2.8794
Space-group type: P4/mmm (123)
Size of the total moment, μB/f.u.: 0.00



No. 11
Crystalline LiCr2P at its relaxed geometry, computed with GGA-PBE.

Cell: 3.905 2.638 4.703 Å, 77.96 90.00 90.00°
Atoms (fractional coordinates):
Cr 0.000 0.946 0.011
Cr 0.500 0.172 0.221
Li 0.000 0.513 0.522
P 0.500 0.868 0.747

Raw total energy, eV/atom: -6.5928
Space-group type: Pm (6)
Size of the total moment, μB/f.u.: 0.00



no.,D(E_F) (states/eV per cell)
1,3.49
2,13.02
3,8.11
4,2.67
5,2.16
6,5.94
7,21.01
8,2.39
9,1.91
10,3.16
11,2.46